Compound: Te2HW
Source: Alexandria
Functional: PBE
Structure: relaxed

Geometry as POSCAR:
```
Te2HW
1.0
1.8941 1.0936 7.3937
-1.8941 1.0936 7.3937
0.0000 -2.1872 7.3937
Te H W
2 1 1
Direct
0.0914 0.0914 0.0914
0.9086 0.9086 0.9086
0.0000 0.0000 0.0000
0.5000 0.5000 0.5000
```

Results
As for the energy above the most stable polymorph in this dataset: 0.000 eV per atom. Its total magnetic moment is 0.00 μB/atom.